A plane-wave DFT calculation with GGA-PBE was carried out for a geometry-optimized AcCeSiIr structure.

CIF file:
```
data_AcCeSiIr
_space_group_name_H-M_alt 'P 1'
_space_group_IT_number 1
_space_group_name_Hall 'P 1'
_cell_length_a 5.181
_cell_length_b 5.181
_cell_length_c 5.181
_cell_angle_alpha 60.00
_cell_angle_beta 60.00
_cell_angle_gamma 60.00
loop_
_atom_site_label
_atom_site_type_symbol
_atom_site_fract_x
_atom_site_fract_y
_atom_site_fract_z
_atom_site_occupancy
Si1 Si 0.750 0.750 0.750 1
Ir1 Ir 0.250 0.250 0.250 1
Ce1 Ce 0.000 0.000 0.000 1
Ac1 Ac 0.500 0.500 0.500 1
```

***

A plane-wave DFT calculation with GGA-PBE was carried out for a geometry-optimized KAcCeO4 structure.

CIF file:
```
data_KAcCeO4
_space_group_name_H-M_alt 'P 1'
_space_group_IT_number 1
_space_group_name_Hall 'P 1'
_cell_length_a 4.366
_cell_length_b 4.366
_cell_length_c 7.366
_cell_angle_alpha 107.24
_cell_angle_beta 107.24
_cell_angle_gamma 90.00
loop_
_atom_site_label
_atom_site_type_symbol
_atom_site_fract_x
_atom_site_fract_y
_atom_site_fract_z
_atom_site_occupancy
O1 O 0.980 0.480 0.960 1
O2 O 0.179 0.179 0.358 1
O3 O 0.480 0.980 0.960 1
O4 O 0.841 0.841 0.682 1
Ac1 Ac 0.355 0.355 0.710 1
Ce1 Ce 0.011 0.011 0.022 1
K1 K 0.654 0.654 0.308 1
```

***

A plane-wave DFT calculation with GGA-PBE was carried out for a geometry-optimized K3Ac3CeO8 structure.

CIF file:
```
data_K3Ac3CeO8
_space_group_name_H-M_alt 'P 1'
_space_group_IT_number 1
_space_group_name_Hall 'P 1'
_cell_length_a 7.601
_cell_length_b 7.600
_cell_length_c 7.716
_cell_angle_alpha 119.50
_cell_angle_beta 90.00
_cell_angle_gamma 120.00
loop_
_atom_site_label
_atom_site_type_symbol
_atom_site_fract_x
_atom_site_fract_y
_atom_site_fract_z
_atom_site_occupancy
O1 O 0.789 0.035 0.323 1
O2 O 0.789 0.577 0.323 1
O3 O 0.211 0.423 0.677 1
O4 O 0.732 0.463 0.695 1
O5 O 0.246 0.035 0.323 1
O6 O 0.211 0.965 0.677 1
O7 O 0.754 0.965 0.677 1
O8 O 0.268 0.537 0.305 1
K1 K 0.000 0.500 0.000 1
K2 K 0.500 0.500 0.000 1
K3 K 0.000 0.000 0.000 1
Ce1 Ce 0.000 0.000 0.500 1
Ac1 Ac 0.500 0.000 0.500 1
Ac2 Ac 0.500 0.500 0.500 1
Ac3 Ac 0.000 0.500 0.500 1
```

***

A plane-wave DFT calculation with GGA-PBE was carried out for a geometry-optimized KAc2CeO6 structure.

CIF file:
```
data_KAc2CeO6
_space_group_name_H-M_alt 'P 1'
_space_group_IT_number 1
_space_group_name_Hall 'P 1'
_cell_length_a 6.236
_cell_length_b 6.427
_cell_length_c 9.746
_cell_angle_alpha 90.00
_cell_angle_beta 89.87
_cell_angle_gamma 90.00
loop_
_atom_site_label
_atom_site_type_symbol
_atom_site_fract_x
_atom_site_fract_y
_atom_site_fract_z
_atom_site_occupancy
Ac1 Ac 0.501 0.502 0.786 1
Ac2 Ac 0.001 0.998 0.286 1
Ac3 Ac 0.499 0.498 0.214 1
Ac4 Ac 0.999 0.002 0.714 1
O1 O 0.685 0.353 0.999 1
O2 O 0.161 0.291 0.163 1
O3 O 0.660 0.202 0.333 1
O4 O 0.160 0.298 0.833 1
O5 O 0.840 0.702 0.167 1
O6 O 0.339 0.791 0.337 1
O7 O 0.661 0.209 0.663 1
O8 O 0.315 0.647 0.001 1
O9 O 0.185 0.147 0.499 1
O10 O 0.839 0.709 0.837 1
O11 O 0.815 0.853 0.501 1
O12 O 0.340 0.798 0.667 1
Ce1 Ce 0.000 0.500 0.000 1
Ce2 Ce 0.500 0.000 0.500 1
K1 K 0.500 0.000 0.000 1
K2 K 0.000 0.500 0.500 1
```

***

A plane-wave DFT calculation with GGA-PBE was carried out for a geometry-optimized K3Ac3CeS8 structure.

CIF file:
```
data_K3Ac3CeS8
_space_group_name_H-M_alt 'P 1'
_space_group_IT_number 1
_space_group_name_Hall 'P 1'
_cell_length_a 8.745
_cell_length_b 8.745
_cell_length_c 8.993
_cell_angle_alpha 119.11
_cell_angle_beta 90.00
_cell_angle_gamma 120.00
loop_
_atom_site_label
_atom_site_type_symbol
_atom_site_fract_x
_atom_site_fract_y
_atom_site_fract_z
_atom_site_occupancy
S1 S 0.779 0.023 0.302 1
S2 S 0.221 0.441 0.698 1
S3 S 0.779 0.559 0.302 1
S4 S 0.756 0.977 0.698 1
S5 S 0.221 0.977 0.698 1
S6 S 0.262 0.524 0.286 1
S7 S 0.244 0.023 0.302 1
S8 S 0.738 0.476 0.714 1
K1 K 0.000 0.500 0.000 1
K2 K 0.000 0.000 0.000 1
K3 K 0.500 0.500 0.000 1
Ac1 Ac 0.500 0.000 0.500 1
Ac2 Ac 0.500 0.500 0.500 1
Ac3 Ac 0.000 0.500 0.500 1
Ce1 Ce 0.000 0.000 0.500 1
```

***

A plane-wave DFT calculation with GGA-PBE was carried out for a geometry-optimized K3Ac2CeS6 structure.

CIF file:
```
data_K3Ac2CeS6
_space_group_name_H-M_alt 'P 1'
_space_group_IT_number 1
_space_group_name_Hall 'P 1'
_cell_length_a 7.566
_cell_length_b 7.566
_cell_length_c 7.817
_cell_angle_alpha 99.29
_cell_angle_beta 99.29
_cell_angle_gamma 120.00
loop_
_atom_site_label
_atom_site_type_symbol
_atom_site_fract_x
_atom_site_fract_y
_atom_site_fract_z
_atom_site_occupancy
K1 K 0.834 0.166 0.500 1
K2 K 0.166 0.834 0.500 1
K3 K 0.500 0.500 0.500 1
Ac1 Ac 0.333 0.667 0.000 1
Ac2 Ac 0.667 0.333 0.000 1
S1 S 0.607 0.930 0.789 1
S2 S 0.747 0.747 0.210 1
S3 S 0.253 0.253 0.790 1
S4 S 0.393 0.070 0.211 1
S5 S 0.070 0.393 0.211 1
S6 S 0.930 0.607 0.789 1
Ce1 Ce 0.000 0.000 0.000 1
```

***

A plane-wave DFT calculation with GGA-PBE was carried out for a geometry-optimized K4Ac3CeS8 structure.

CIF file:
```
data_K4Ac3CeS8
_space_group_name_H-M_alt 'P 1'
_space_group_IT_number 1
_space_group_name_Hall 'P 1'
_cell_length_a 8.773
_cell_length_b 8.970
_cell_length_c 8.773
_cell_angle_alpha 119.29
_cell_angle_beta 120.00
_cell_angle_gamma 90.00
loop_
_atom_site_label
_atom_site_type_symbol
_atom_site_fract_x
_atom_site_fract_y
_atom_site_fract_z
_atom_site_occupancy
K1 K 0.500 0.000 0.500 1
K2 K 0.500 0.000 0.000 1
K3 K 0.000 0.000 0.500 1
K4 K 0.000 0.000 0.000 1
S1 S 0.746 0.710 0.978 1
S2 S 0.232 0.710 0.464 1
S3 S 0.739 0.716 0.477 1
S4 S 0.261 0.284 0.523 1
S5 S 0.254 0.290 0.022 1
S6 S 0.232 0.710 0.978 1
S7 S 0.768 0.290 0.536 1
S8 S 0.768 0.290 0.022 1
Ac1 Ac 0.500 0.500 0.000 1
Ac2 Ac 0.500 0.500 0.500 1
Ac3 Ac 0.000 0.500 0.500 1
Ce1 Ce 0.000 0.500 0.000 1
```

***

A plane-wave DFT calculation with GGA-PBE was carried out for a geometry-optimized KAc2CeSe4 structure.

CIF file:
```
data_KAc2CeSe4
_space_group_name_H-M_alt 'P 1'
_space_group_IT_number 1
_space_group_name_Hall 'P 1'
_cell_length_a 4.422
_cell_length_b 7.661
_cell_length_c 7.768
_cell_angle_alpha 70.85
_cell_angle_beta 90.00
_cell_angle_gamma 90.00
loop_
_atom_site_label
_atom_site_type_symbol
_atom_site_fract_x
_atom_site_fract_y
_atom_site_fract_z
_atom_site_occupancy
Se1 Se 0.500 0.248 0.761 1
Se2 Se 0.500 0.752 0.239 1
Se3 Se 0.000 0.742 0.760 1
Se4 Se 0.000 0.258 0.240 1
K1 K 0.000 0.500 0.500 1
Ac1 Ac 0.000 0.000 0.000 1
Ac2 Ac 0.500 0.000 0.500 1
Ce1 Ce 0.500 0.500 0.000 1
```

***

For the records above, the corresponding raw formation energy values read -0.3785; -2.8746; -2.7368; -2.8325; -1.8679; -1.8545; -1.8624; -1.7622 eV per atom.
For the records above, the corresponding total magnetic moment values read 0.044; 0.012; 0.000; 0.085; 0.000; 0.084; 0.063; 0.174 μB/atom.
For the records above, the corresponding raw total energy values read -25.84; -51.09; -102.27; -146.64; -82.59; -64.46; -85.47; -43.28 eV per cell.